{
  "formula": "Np3P2Se3",
  "functional": "PBE",
  "state": "optimized geometry",
  "volume_a3_per_cell": 335.32,
  "spacegroup": "P6_3/mcm",
  "e_form_raw_ev_per_atom": -0.988,
  "cell": [[8.374, 0.000, 0.000], [-4.187, 7.252, 0.000], [0.000, 0.000, 5.521]],
  "species": ["Np", "Np", "Np", "Np", "Np", "Np", "P", "P", "P", "P", "Se", "Se", "Se", "Se", "Se", "Se"],
  "frac_coords": [[0.000, 0.387, 0.250], [0.000, 0.613, 0.750], [0.387, 0.000, 0.250], [0.387, 0.387, 0.750], [0.613, 0.000, 0.750], [0.613, 0.613, 0.250], [0.333, 0.667, 0.000], [0.333, 0.667, 0.500], [0.667, 0.333, 0.000], [0.667, 0.333, 0.500], [0.000, 0.254, 0.750], [0.000, 0.746, 0.250], [0.254, 0.000, 0.750], [0.254, 0.254, 0.250], [0.746, 0.000, 0.250], [0.746, 0.746, 0.750]]
}